Entry 1:
Compound: TiMn2In
Source: the Alexandria database
Functional: PBE
Structure: relaxed

## Properties
As for the uncorrected energy: -7.239 eV per atom. As for the space-group type: No. 123. Its formation enthalpy at 0 K is 0.00 eV per atom. The calculation puts the spin magnetization at 3.254 μB per formula unit.

a b c (Å): 4.2393 4.2393 3.3722
angles (deg): 90.00 90.00 90.00
With the nearest neighbours (Å) after each atom.
Fractional coordinates of all 4 atoms:
1 Ti 0.0000 0.0000 0.0000  8 Mn 2.71, 4 In 3.00
2 Mn 0.0000 0.5000 0.5000  4 Ti 2.71, 4 In 2.71, 4 Mn 3.00
3 Mn 0.5000 0.0000 0.5000  4 Ti 2.71, 4 In 2.71, 4 Mn 3.00
4 In 0.5000 0.5000 0.0000  8 Mn 2.71, 4 Ti 3.00

Entry 2:
Compound: Mg2Ga
Source: the Alexandria database
Functional: PBE
Structure: relaxed

## Properties
As for the uncorrected energy: -2.117 eV per atom. As for the space-group type: No. 63. Its formation enthalpy at 0 K is -0.04 eV per atom. The calculation puts the spin magnetization at 0.000 μB per formula unit.

a b c (Å): 3.1264 15.1386 5.3216
angles (deg): 90.00 90.00 90.00
With the nearest neighbours (Å) after each atom.
Fractional coordinates of all 12 atoms:
1 Mg 0.0000 0.0592 0.2500  2 Ga 2.92, 10 Mg 3.13-3.23
2 Mg 0.0000 0.3788 0.2500  4 Ga 2.84-3.07, 4 Mg 3.13-3.15
3 Mg 0.0000 0.6212 0.7500  4 Ga 2.84-3.07, 4 Mg 3.13-3.15
4 Mg 0.0000 0.9408 0.7500  2 Ga 2.92, 10 Mg 3.13-3.23
5 Mg 0.5000 0.1212 0.7500  4 Ga 2.84-3.07, 4 Mg 3.13-3.15
6 Mg 0.5000 0.4408 0.7500  2 Ga 2.92, 10 Mg 3.13-3.23
7 Mg 0.5000 0.5592 0.2500  2 Ga 2.92, 10 Mg 3.13-3.23
8 Mg 0.5000 0.8788 0.2500  4 Ga 2.84-3.07, 4 Mg 3.13-3.15
9 Ga 0.0000 0.2782 0.7500  6 Mg 2.84-3.07, 2 Ga 3.13
10 Ga 0.0000 0.7218 0.2500  6 Mg 2.84-3.07, 2 Ga 3.13
11 Ga 0.5000 0.2218 0.2500  6 Mg 2.84-3.07, 2 Ga 3.13
12 Ga 0.5000 0.7782 0.7500  6 Mg 2.84-3.07, 2 Ga 3.13

Entry 3:
Compound: Sm2HoIn3Se6
Source: the Alexandria database
Functional: PBE
Structure: relaxed

## Properties
Its formation energy (no corrections) is -125.1 kJ/mol of atoms. As for the uncorrected energy: -4.891 eV per atom. As for the space-group type: No. 12. The calculation puts the spin magnetization at 0.000 μB per formula unit.

a b c (Å): 7.2758 7.2758 8.1081
angles (deg): 98.60 98.60 119.99
With the nearest neighbours (Å) after each atom.
Fractional coordinates of all 12 atoms:
1 Sm 0.1666 0.8334 0.0000  6 Se 2.94-2.95
2 Sm 0.8334 0.1666 0.0000  6 Se 2.94-2.95
3 Ho 0.5000 0.5000 0.0000  6 Se 2.88-2.89
4 In 0.0000 0.0000 0.5000  6 Se 3.28-3.33
5 In 0.3320 0.6680 0.5000  6 Se 3.29-3.33
6 In 0.6680 0.3320 0.5000  6 Se 3.29-3.33
7 Se 0.1031 0.4298 0.7896  1 Ho 2.88, 2 Sm 2.94
8 Se 0.2439 0.2439 0.2124  1 Ho 2.89, 2 Sm 2.95
9 Se 0.4298 0.1031 0.7896  1 Ho 2.88, 2 Sm 2.94
10 Se 0.5702 0.8969 0.2104  1 Ho 2.88, 2 Sm 2.94
11 Se 0.7561 0.7561 0.7876  1 Ho 2.89, 2 Sm 2.95
12 Se 0.8969 0.5702 0.2104  1 Ho 2.88, 2 Sm 2.94